1.
Here is a relaxed structure of KCrTc2 from the Alexandria database. Energies are from PBE-GGA.

Unit cell a=4.5945 b=4.5945 c=4.5945 alpha=60.00 beta=60.00 gamma=60.00
Site moments in Bohr magnetons follow the coordinates.
Fractional positions:
K 0.7500 0.7500 0.7500  0.04
Cr 0.5000 0.5000 0.5000  3.09
Tc 0.0000 0.0000 0.0000  0.30
Tc 0.2500 0.2500 0.2500  -0.89

## Properties
- size of the total moment (μB/f.u.) = 2.80
- E_form (kJ per mole of atoms) = 137.1
- final energy (eV/atom) = -6.4423
- offset from the most stable computed form (eV/f.u.) = 2.69

2.
Here is a relaxed structure of TlCdCo2H from the Alexandria database. Energies are from PBE-GGA.

Unit cell a=4.9935 b=3.4611 c=4.9935 alpha=90.00 beta=90.00 gamma=90.00
Site moments in Bohr magnetons follow the coordinates.
Fractional positions:
Cd 0.0000 0.0000 0.0000  -0.04
Co 0.0000 0.0000 0.5000  1.76
Tl 0.5000 0.5000 0.5000  -0.04
Co 0.5000 0.0000 0.0000  1.64
H 0.0000 0.5000 0.0000  0.02

## Properties
- size of the total moment (μB/f.u.) = 3.18
- final energy (eV/atom) = -3.0735

3.
Here is a relaxed structure of Li2Al2Tl from the Alexandria database. Energies are from PBE-GGA.

Unit cell a=3.9482 b=3.9482 c=7.2511 alpha=74.20 beta=74.20 gamma=90.00
Fractional positions:
Al 0.4024 0.4024 0.1952
Al 0.5976 0.5976 0.8048
Li 0.7500 0.2500 0.5000
Tl 0.0000 0.0000 0.0000
Li 0.2500 0.7500 0.5000

## Properties
- size of the total moment (μB/f.u.) = 0.00
- E_form (kJ per mole of atoms) = 11.0
- final energy (eV/atom) = -2.6216
- offset from the most stable computed form (eV/f.u.) = 0.62

4.
Here is a relaxed structure of GaPSe2Cl from the Alexandria database. Energies are from PBE-GGA.

Unit cell a=4.9714 b=4.9714 c=4.8232 alpha=90.00 beta=90.00 gamma=90.00
Fractional positions:
Se 0.5000 0.0000 0.0000
Cl 0.5000 0.5000 0.5000
Ga 0.0000 0.0000 0.0000
Se 0.0000 0.5000 0.0000
P 0.0000 0.0000 0.5000

## Properties
- formation energy (no corrections) (eV/atom) = 0.6361
- size of the total moment (μB/f.u.) = 0.00
- final energy (eV/atom) = -2.8144

Q: What is the formula in the fourth record?
A: GaPSe2Cl

Q: Number 2 is which compound?
A: TlCdCo2H

Q: size of the total moment of number 2 (TlCdCo2H)?
A: 3.18 μB/f.u.